1.
Here is a geometry-optimized LiIrSO structure from OQMD. Energies are from GGA-PBE.

Computed properties:
total moment = 0.00 μB/f.u.
relative energy among the computed polymorphs = 154 meV/atom

```
data_LiIrSO
_chemical_formula_sum 'Li4 Ir4 S4 O4'
_symmetry_space_group_name_H-M 'P 1 21 1'
_symmetry_Int_Tables_number 4
_symmetry_space_group_name_Hall 'P 2yb'
_cell_length_a 5.325
_cell_length_b 4.720
_cell_length_c 8.936
_cell_angle_alpha 90.00
_cell_angle_beta 100.45
_cell_angle_gamma 90.00
loop_
_atom_site_label
_atom_site_fract_x
_atom_site_fract_y
_atom_site_fract_z
Li1 0.191 0.000 0.115
Li2 0.274 0.007 0.487
Ir1 0.043 0.514 0.172
Ir2 0.321 0.413 0.855
S1 0.105 0.712 0.659
S2 0.418 0.698 0.297
O1 0.113 0.686 0.970
O2 0.429 0.231 0.065
```

=====

2.
Here is a geometry-optimized NdMg4AlAu2 structure from OQMD. Energies are from GGA-PBE.

Computed properties:
total moment = 0.00 μB/f.u.
total energy = -38.50 eV for the cell shown

```
data_NdMg4AlAu2
_chemical_formula_sum 'Nd2 Mg8 Al2 Au4'
_symmetry_space_group_name_H-M 'A m m 2'
_symmetry_Int_Tables_number 38
_symmetry_space_group_name_Hall 'A 2 -2'
_cell_length_a 6.292
_cell_length_b 5.592
_cell_length_c 15.203
_cell_angle_alpha 90.00
_cell_angle_beta 90.00
_cell_angle_gamma 90.00
loop_
_atom_site_label
_atom_site_fract_x
_atom_site_fract_y
_atom_site_fract_z
Nd1 0.000 0.000 0.000
Mg1 0.251 0.000 0.223
Mg2 0.272 0.000 0.660
Al1 0.000 0.000 0.526
Au1 0.000 0.000 0.364
Au2 0.000 0.000 0.797
```

=====

3.
Here is a geometry-optimized Zn2IrAu2 structure from OQMD. Energies are from GGA-PBE.

Computed properties:
total moment = 0.80 μB/f.u.
energy of formation from the pure elements = 0.34 eV per atom

```
data_Zn2IrAu2
_chemical_formula_sum 'Zn4 Ir2 Au4'
_symmetry_space_group_name_H-M 'I 4/m m m'
_symmetry_Int_Tables_number 139
_symmetry_space_group_name_Hall '-I 4 2'
_cell_length_a 3.631
_cell_length_b 3.631
_cell_length_c 12.741
_cell_angle_alpha 90.00
_cell_angle_beta 90.00
_cell_angle_gamma 90.00
loop_
_atom_site_label
_atom_site_fract_x
_atom_site_fract_y
_atom_site_fract_z
Zn1 0.000 0.500 0.250
Ir1 0.000 0.000 0.000
Au1 0.000 0.000 0.395
```

=====

4.
Here is a geometry-optimized LaDyTe structure from OQMD. Energies are from GGA-PBE.

Computed properties:
total moment = 0.83 μB/f.u.
relative energy among the computed polymorphs = 0 meV/atom

```
data_LaDyTe
_chemical_formula_sum 'La4 Dy4 Te4'
_symmetry_space_group_name_H-M 'F -4 3 m'
_symmetry_Int_Tables_number 216
_symmetry_space_group_name_Hall 'F -4 2 3'
_cell_length_a 7.369
_cell_length_b 7.369
_cell_length_c 7.369
_cell_angle_alpha 90.00
_cell_angle_beta 90.00
_cell_angle_gamma 90.00
loop_
_atom_site_label
_atom_site_fract_x
_atom_site_fract_y
_atom_site_fract_z
La1 0.000 0.000 0.000
Dy1 0.000 0.000 0.500
Te1 0.250 0.250 0.750
```